This record from Alexandria describes Al2ReHg after structural relaxation. The functional is PBE.

## Properties
**D(E_F)**: 3.5 states/eV/f.u.
**Symmetry**: R-3m, No. 166
**Total moment**: 0.0 Bohr magnetons per cell
**Calculated formation energy**: 0.114 eV per atom

Cell and atoms, written as extended XYZ:
```
4
Lattice="1.497 0.864 8.897 -1.497 0.864 8.897 0.000 -1.729 8.897" Properties=species:S:1:pos:R:3 pbc="T T T"
Al 0.000 0.000 6.407
Al 0.000 0.000 20.284
Re 0.000 0.000 13.345
Hg 0.000 0.000 0.000
```

This record from Alexandria describes AlReHg2Sb after structural relaxation. The functional is PBE.

## Properties
**D(E_F)**: 3.9 states/eV/f.u.
**Symmetry**: P4/mmm, No. 123
**Total moment**: 4.2 Bohr magnetons per cell

Cell and atoms, written as extended XYZ:
```
5
Lattice="4.990 0.000 0.000 0.000 4.990 0.000 0.000 0.000 5.526" Properties=species:S:1:pos:R:3 pbc="T T T"
Al 0.000 0.000 0.000
Re 2.495 2.495 2.763
Hg 0.000 2.495 0.000
Hg 2.495 0.000 0.000
Sb 0.000 0.000 2.763
```

This record from Alexandria describes AlReTcHg2 after structural relaxation. The functional is PBE.

## Properties
**D(E_F)**: 3.6 states/eV/f.u.
**Symmetry**: P4/mmm, No. 123
**Total moment**: 4.2 Bohr magnetons per cell
**Calculated formation energy**: 1.748 eV per atom

Cell and atoms, written as extended XYZ:
```
5
Lattice="4.810 0.000 0.000 0.000 4.810 0.000 0.000 0.000 4.612" Properties=species:S:1:pos:R:3 pbc="T T T"
Al 0.000 0.000 0.000
Re 2.405 2.405 2.306
Tc 0.000 0.000 2.306
Hg 0.000 2.405 0.000
Hg 2.405 0.000 0.000
```

This record from Alexandria describes Al2ReHgW after structural relaxation. The functional is PBE.

## Properties
**D(E_F)**: 2.8 states/eV/f.u.
**Symmetry**: P4/mmm, No. 123
**ΔE to the lowest computed polymorph**: 0 meV per atom
**Total moment**: 1.5 Bohr magnetons per cell
**Calculated formation energy**: 0.944 eV per atom

Cell and atoms, written as extended XYZ:
```
5
Lattice="4.814 0.000 0.000 0.000 4.814 0.000 0.000 0.000 4.869" Properties=species:S:1:pos:R:3 pbc="T T T"
Al 0.000 2.407 0.000
Al 2.407 0.000 0.000
Re 0.000 0.000 0.000
Hg 2.407 2.407 2.435
W 0.000 0.000 2.435
```

This record from Alexandria describes Al2ReHgW after structural relaxation. The functional is PBE.

## Properties
**D(E_F)**: 5.4 states/eV/f.u.
**Symmetry**: P4/mmm, No. 123
**ΔE to the lowest computed polymorph**: 1272 meV per atom
**Total moment**: 3.3 Bohr magnetons per cell
**Calculated formation energy**: 2.217 eV per atom

Cell and atoms, written as extended XYZ:
```
5
Lattice="4.599 0.000 0.000 0.000 4.599 0.000 0.000 0.000 5.111" Properties=species:S:1:pos:R:3 pbc="T T T"
Al 0.000 2.300 0.000
Al 2.300 0.000 0.000
Re 0.000 0.000 2.556
Hg 0.000 0.000 0.000
W 2.300 2.300 2.556
```

This record from Alexandria describes AlReHgW2 after structural relaxation. The functional is PBE.

## Properties
**D(E_F)**: 9.7 states/eV/f.u.
**Symmetry**: P4/mmm, No. 123
**Total moment**: 0.0 Bohr magnetons per cell
**Calculated formation energy**: 3.076 eV per atom

Cell and atoms, written as extended XYZ:
```
5
Lattice="4.890 0.000 0.000 0.000 4.890 0.000 0.000 0.000 4.898" Properties=species:S:1:pos:R:3 pbc="T T T"
Al 0.000 0.000 0.000
Re 2.445 2.445 0.000
Hg 2.445 2.445 2.449
W 0.000 2.445 2.449
W 2.445 0.000 2.449
```

This record from Alexandria describes ZrAlRe2Hg after structural relaxation. The functional is PBE.

## Properties
**D(E_F)**: 4.8 states/eV/f.u.
**Symmetry**: P4/mmm, No. 123
**Total moment**: 2.0 Bohr magnetons per cell
**Calculated formation energy**: 2.314 eV per atom

Cell and atoms, written as extended XYZ:
```
5
Lattice="4.940 0.000 0.000 0.000 4.940 0.000 0.000 0.000 5.062" Properties=species:S:1:pos:R:3 pbc="T T T"
Zr 0.000 0.000 0.000
Al 2.470 2.470 0.000
Re 0.000 2.470 2.531
Re 2.470 0.000 2.531
Hg 0.000 0.000 2.531
```

This record from Alexandria describes Zr2AlReHg after structural relaxation. The functional is PBE.

## Properties
**D(E_F)**: 1.7 states/eV/f.u.
**Symmetry**: P4/mmm, No. 123
**Total moment**: 0.0 Bohr magnetons per cell
**Calculated formation energy**: 0.798 eV per atom

Cell and atoms, written as extended XYZ:
```
5
Lattice="5.015 0.000 0.000 0.000 5.015 0.000 0.000 0.000 4.478" Properties=species:S:1:pos:R:3 pbc="T T T"
Zr 0.000 2.508 0.000
Zr 2.508 0.000 0.000
Al 0.000 0.000 0.000
Re 0.000 0.000 2.239
Hg 2.508 2.508 2.239
```

This record from Alexandria describes AlHg2Rh after structural relaxation. The functional is PBE.

## Properties
**D(E_F)**: 1.3 states/eV/f.u.
**Symmetry**: Pm, No. 6
**Total moment**: 0.0 Bohr magnetons per cell
**Calculated formation energy**: -0.238 eV per atom

Cell and atoms, written as extended XYZ:
```
4
Lattice="3.068 0.000 0.000 0.000 3.006 0.000 -0.710 0.000 8.492" Properties=species:S:1:pos:R:3 pbc="T T T"
Al 0.000 0.000 0.000
Hg -0.423 1.503 6.035
Hg 0.011 0.000 3.328
Rh 1.533 1.503 1.271
```

This record from Alexandria describes AlHg2Rh after structural relaxation. The functional is PBE.

## Properties
**D(E_F)**: 2.2 states/eV/f.u.
**Symmetry**: I-42d, No. 122
**Total moment**: 0.0 Bohr magnetons per cell
**Calculated formation energy**: 0.241 eV per atom

Cell and atoms, written as extended XYZ:
```
8
Lattice="-3.794 3.794 2.739 3.794 -3.794 2.739 3.794 3.794 -2.739" Properties=species:S:1:pos:R:3 pbc="T T T"
Al 0.000 0.000 0.000
Al 0.000 3.794 1.370
Hg 5.690 1.872 -0.685
Hg 1.872 1.897 0.685
Hg -1.897 1.922 2.054
Hg 1.922 1.897 3.424
Rh 3.794 0.000 1.370
Rh 0.000 0.000 2.739
```

This record from Alexandria describes AlHg2Rh after structural relaxation. The functional is PBE.

## Properties
**D(E_F)**: 1.3 states/eV/f.u.
**Symmetry**: C2/m, No. 12
**Total moment**: 0.0 Bohr magnetons per cell
**Calculated formation energy**: 0.044 eV per atom

Cell and atoms, written as extended XYZ:
```
4
Lattice="4.876 -1.637 0.000 4.876 1.637 0.000 -1.164 0.000 4.540" Properties=species:S:1:pos:R:3 pbc="T T T"
Al 0.000 0.000 0.000
Hg 1.555 0.000 3.394
Hg 7.034 0.000 1.147
Rh 4.295 0.000 2.270
```

This record from Alexandria describes Al2Hg2Rh after structural relaxation. The functional is PBE.

## Properties
**D(E_F)**: 3.1 states/eV/f.u.
**Symmetry**: P4/mbm, No. 127
**Total moment**: 0.0 Bohr magnetons per cell
**Calculated formation energy**: 0.032 eV per atom

Cell and atoms, written as extended XYZ:
```
10
Lattice="6.639 0.000 0.000 0.000 6.639 0.000 0.000 0.000 4.242" Properties=species:S:1:pos:R:3 pbc="T T T"
Al 0.984 2.336 0.000
Al 2.336 5.655 0.000
Al 4.303 0.984 0.000
Al 5.655 4.303 0.000
Hg 1.104 4.424 2.121
Hg 2.215 1.104 2.121
Hg 4.424 5.534 2.121
Hg 5.534 2.215 2.121
Rh 0.000 0.000 0.000
Rh 3.319 3.319 0.000
```

This record from Alexandria describes AlHgRh4 after structural relaxation. The functional is PBE.

## Properties
**D(E_F)**: 7.3 states/eV/f.u.
**Symmetry**: F-43m, No. 216
**Total moment**: 0.0 Bohr magnetons per cell
**Calculated formation energy**: 0.130 eV per atom

Cell and atoms, written as extended XYZ:
```
6
Lattice="0.000 3.653 3.653 3.653 0.000 3.653 3.653 3.653 0.000" Properties=species:S:1:pos:R:3 pbc="T T T"
Al 0.000 0.000 0.000
Hg 5.479 5.479 5.479
Rh 2.738 2.738 2.738
Rh 4.567 4.567 2.738
Rh 4.567 2.738 4.567
Rh 2.738 4.567 4.567
```

This record from Alexandria describes Al4HgRh5 after structural relaxation. The functional is PBE.

## Properties
**D(E_F)**: 2.7 states/eV/f.u.
**Symmetry**: P4/mmm, No. 123
**Total moment**: 0.0 Bohr magnetons per cell
**Calculated formation energy**: -0.880 eV per atom

Cell and atoms, written as extended XYZ:
```
10
Lattice="3.002 0.000 0.000 0.000 3.002 0.000 0.000 0.000 15.890" Properties=species:S:1:pos:R:3 pbc="T T T"
Al 0.000 0.000 1.520
Al 0.000 0.000 4.573
Al 0.000 0.000 11.317
Al 0.000 0.000 14.370
Hg 0.000 0.000 7.945
Rh 1.501 1.501 0.000
Rh 1.501 1.501 2.979
Rh 1.501 1.501 5.930
Rh 1.501 1.501 9.960
Rh 1.501 1.501 12.910
```

This record from Alexandria describes AlHg3Rh after structural relaxation. The functional is PBE.

## Properties
**D(E_F)**: 4.9 states/eV/f.u.
**Symmetry**: Pm-3m, No. 221
**ΔE to the lowest computed polymorph**: 402 meV per atom
**Total moment**: 0.6 Bohr magnetons per cell
**Calculated formation energy**: 0.815 eV per atom

Cell and atoms, written as extended XYZ:
```
5
Lattice="5.057 0.000 0.000 0.000 5.057 0.000 0.000 0.000 5.057" Properties=species:S:1:pos:R:3 pbc="T T T"
Al 0.000 0.000 0.000
Hg 0.000 0.000 2.528
Hg 0.000 2.528 0.000
Hg 2.528 0.000 0.000
Rh 2.528 2.528 2.528
```

This record from Alexandria describes AlHg2Rh after structural relaxation. The functional is PBE.

## Properties
**D(E_F)**: 1.3 states/eV/f.u.
**Symmetry**: Immm, No. 71
**Total moment**: 0.0 Bohr magnetons per cell
**Calculated formation energy**: -0.005 eV per atom

Cell and atoms, written as extended XYZ:
```
4
Lattice="-1.997 2.004 4.456 1.997 -2.004 4.456 1.997 2.004 -4.456" Properties=species:S:1:pos:R:3 pbc="T T T"
Al 0.000 0.000 0.000
Hg 1.997 0.000 2.225
Hg 0.000 2.004 2.231
Rh 0.000 0.000 4.456
```

This record from Alexandria describes AlHg2Rh after structural relaxation. The functional is PBE.

## Properties
**D(E_F)**: 1.0 states/eV/f.u.
**Symmetry**: P4mm, No. 99
**Total moment**: 0.0 Bohr magnetons per cell
**Calculated formation energy**: -0.205 eV per atom

Cell and atoms, written as extended XYZ:
```
4
Lattice="3.027 0.000 0.000 0.000 3.027 0.000 0.000 0.000 8.398" Properties=species:S:1:pos:R:3 pbc="T T T"
Al 0.000 0.000 0.000
Hg 0.000 0.000 5.050
Hg 1.513 1.513 2.358
Rh 1.513 1.513 7.139
```

This record from Alexandria describes Al2HgRh3 after structural relaxation. The functional is PBE.

## Properties
**D(E_F)**: 1.9 states/eV/f.u.
**Symmetry**: P4/mmm, No. 123
**Total moment**: 0.0 Bohr magnetons per cell
**Calculated formation energy**: -0.721 eV per atom

Cell and atoms, written as extended XYZ:
```
6
Lattice="3.010 0.000 0.000 0.000 3.010 0.000 0.000 0.000 9.824" Properties=species:S:1:pos:R:3 pbc="T T T"
Al 0.000 0.000 1.540
Al 0.000 0.000 8.284
Hg 0.000 0.000 4.912
Rh 1.505 1.505 0.000
Rh 1.505 1.505 2.925
Rh 1.505 1.505 6.899
```

This record from Alexandria describes AlHg2Rh after structural relaxation. The functional is PBE.

## Properties
**D(E_F)**: 2.5 states/eV/f.u.
**Symmetry**: F-43m, No. 216
**Total moment**: 0.0 Bohr magnetons per cell
**Calculated formation energy**: 0.128 eV per atom

Cell and atoms, written as extended XYZ:
```
4
Lattice="0.000 3.301 3.301 3.301 0.000 3.301 3.301 3.301 0.000" Properties=species:S:1:pos:R:3 pbc="T T T"
Al 0.000 0.000 0.000
Hg 3.301 3.301 3.301
Hg 4.951 4.951 4.951
Rh 1.650 1.650 1.650
```

This record from Alexandria describes AlHg2Rh after structural relaxation. The functional is PBE.

## Properties
**D(E_F)**: 2.7 states/eV/f.u.
**Symmetry**: R3m, No. 160
**Total moment**: 0.0 Bohr magnetons per cell
**Calculated formation energy**: -0.083 eV per atom

Cell and atoms, written as extended XYZ:
```
4
Lattice="1.577 0.910 8.948 -1.577 0.910 8.948 0.000 -1.820 8.948" Properties=species:S:1:pos:R:3 pbc="T T T"
Al 0.000 0.000 0.000
Hg 0.000 0.000 13.980
Hg 0.000 0.000 20.243
Rh 0.000 0.000 7.307
```

no.,total energy (eV/atom)
1,-4.94
2,-2.82
3,-3.68
4,-5.69
5,-4.42
6,-5.40
7,-5.18
8,-5.92
9,-3.16
10,-2.68
11,-2.88
12,-3.06
13,-5.45
14,-6.08
15,-1.59
16,-2.93
17,-3.13
18,-5.69
19,-2.80
20,-3.01